# 1
A relaxed structure of NbWC2, computed with PBE.

POSCAR file:
```
NbWC2
1.0
0.0000 2.7668 2.7668
2.7668 0.0000 2.7668
2.7668 2.7668 0.0000
Nb C W
1 2 1
direct
0.0000 0.0000 0.0000
0.2500 0.2500 0.2500
0.7500 0.7500 0.7500
0.5000 0.5000 0.5000
```

Distance to the lowest polymorph of the same formula: 701 meV per atom
V: 42.4 Å³ per cell
Formation energy from the elements: 0.5718 eV per atom
DOS at the Fermi energy: 2.0 states/eV/f.u.
Electronic total energy: -9.796 eV per atom


# 2
A relaxed structure of NbWC, computed with PBE.

POSCAR file:
```
NbWC
1.0
4.3831 0.0000 0.0000
0.0000 4.3831 0.0000
0.0000 0.0000 8.4003
Nb C W
4 4 4
direct
0.0000 0.0000 0.1132
0.0000 0.5000 0.3632
0.5000 0.5000 0.6132
0.5000 0.0000 0.8632
0.0000 0.0000 0.3687
0.0000 0.5000 0.6187
0.5000 0.5000 0.8687
0.5000 0.0000 0.1187
0.0000 0.0000 0.6149
0.0000 0.5000 0.8649
0.5000 0.5000 0.1149
0.5000 0.0000 0.3649
```

Distance to the lowest polymorph of the same formula: 109 meV per atom
V: 161.4 Å³ per cell
Formation energy from the elements: -0.1613 eV per atom
DOS at the Fermi energy: 1.5 states/eV/f.u.
Electronic total energy: -10.910 eV per atom


# 3
A relaxed structure of NbWC, computed with PBE.

POSCAR file:
```
NbWC
1.0
6.1378 0.0000 0.0000
0.0000 6.2968 0.0000
0.0000 0.0000 8.5178
Nb C W
8 8 8
direct
0.0000 0.2500 0.2500
0.0000 0.7500 0.7500
0.0000 0.2500 0.7500
0.0000 0.7500 0.2500
0.5000 0.2500 0.7500
0.5000 0.7500 0.2500
0.5000 0.2500 0.2500
0.5000 0.7500 0.7500
0.2500 0.0000 0.2500
0.2500 0.0000 0.7500
0.7500 0.0000 0.7500
0.7500 0.0000 0.2500
0.2500 0.5000 0.7500
0.2500 0.5000 0.2500
0.7500 0.5000 0.2500
0.7500 0.5000 0.7500
0.2204 0.0000 0.0000
0.7796 0.0000 0.0000
0.2204 0.5000 0.5000
0.7796 0.5000 0.5000
0.7204 0.0000 0.5000
0.2796 0.0000 0.5000
0.7204 0.5000 0.0000
0.2796 0.5000 0.0000
```

Distance to the lowest polymorph of the same formula: 215 meV per atom
V: 329.2 Å³ per cell
Formation energy from the elements: -0.0553 eV per atom
DOS at the Fermi energy: 2.0 states/eV/f.u.
Electronic total energy: -10.804 eV per atom